# ZrIn2Si PBEsol relaxed
# Volume (Å³/f.u.): 83.6
# E_tot (eV per formula unit): -21.1
# Formation energy from raw total energies (eV per atom): -0.081
data_ZrIn2Si
_cell_length_a 3.032
_cell_length_b 3.032
_cell_length_c 9.100
_cell_angle_alpha 90.00
_cell_angle_beta 90.00
_cell_angle_gamma 90.00
_space_group_name_H-M_alt 'P 4 m m'
_space_group_IT_number 99
_space_group_name_Hall 'P 4 -2'
loop_
_atom_site_label
_atom_site_type_symbol
_atom_site_fract_x
_atom_site_fract_y
_atom_site_fract_z
_atom_site_occupancy
Zr1 Zr 0.000 0.000 0.000 1
In1 In 0.000 0.000 0.542 1
In2 In 0.500 0.500 0.254 1
Si1 Si 0.500 0.500 0.795 1